# PBE KZnSeN2, optimized geometry
data_KZnSeN2
_chemical_formula_sum 'K1 Zn1 Se1 N2'
_symmetry_space_group_name_H-M 'P 4/m m m'
_symmetry_Int_Tables_number 123
_symmetry_space_group_name_Hall '-P 4 2'
_cell_length_a 4.395
_cell_length_b 4.395
_cell_length_c 5.123
_cell_angle_alpha 90.00
_cell_angle_beta 90.00
_cell_angle_gamma 90.00
loop_
_atom_site_label
_atom_site_fract_x
_atom_site_fract_y
_atom_site_fract_z
_atom_site_occupancy
K1 0.000 0.000 0.000 1
Zn1 0.500 0.500 0.500 1
Se1 0.500 0.500 0.000 1
N1 0.000 0.500 0.500 1
# **Excess energy over the best structure of this formula in the dataset**: 0 meV/atom
# **DFT total energy**: -16.945 eV for the cell shown
# **DOS at the Fermi energy**: 0.380 states/eV per atom
# **Formation energy from raw total energies**: 1.1124 eV/atom


# PBE LaTlIn2, optimized geometry
data_LaTlIn2
_chemical_formula_sum 'La2 Tl2 In4'
_symmetry_space_group_name_H-M 'C m m 2'
_symmetry_Int_Tables_number 35
_cell_length_a 3.812
_cell_length_b 5.781
_cell_length_c 10.690
_cell_angle_alpha 90.00
_cell_angle_beta 90.00
_cell_angle_gamma 90.00
loop_
_symmetry_equiv_pos_as_xyz
'x,y,z'
'-x,-y,z'
'-x,y,z'
'x,-y,z'
'x+1/2,y+1/2,z'
'-x+1/2,-y+1/2,z'
'-x+1/2,y+1/2,z'
'x+1/2,-y+1/2,z'
loop_
_atom_site_label
_atom_site_fract_x
_atom_site_fract_y
_atom_site_fract_z
_atom_site_occupancy
La1 0.000 0.000 0.000 1
Tl1 0.000 0.500 0.734 1
In1 0.000 0.000 0.493 1
In2 0.000 0.500 0.260 1
# **Formation energy from the elements**: -0.09 eV/atom
# **DFT total energy**: -26.237 eV for the cell shown
# **DOS at the Fermi energy**: 0.837 states/eV per atom


# PBE LiLaHoEr, optimized geometry
data_LiLaHoEr
_chemical_formula_sum 'Li4 La4 Ho4 Er4'
_symmetry_space_group_name_H-M 'F -4 3 m'
_symmetry_Int_Tables_number 216
_symmetry_space_group_name_Hall 'F -4 2 3'
_cell_length_a 7.857
_cell_length_b 7.857
_cell_length_c 7.857
_cell_angle_alpha 90.00
_cell_angle_beta 90.00
_cell_angle_gamma 90.00
loop_
_atom_site_label
_atom_site_fract_x
_atom_site_fract_y
_atom_site_fract_z
_atom_site_occupancy
Li1 0.000 0.000 0.000 1
La1 0.250 0.250 0.750 1
Ho1 0.250 0.250 0.250 1
Er1 0.000 0.000 0.500 1
# **Formation energy from the elements**: 0.17 eV/atom
# **DFT total energy**: -61.252 eV for the cell shown
# **DOS at the Fermi energy**: 1.012 states/eV per atom


# PBE ThCdIn6, optimized geometry
data_ThCdIn6
_chemical_formula_sum 'Th2 Cd2 In12'
_symmetry_space_group_name_H-M 'C m m m'
_symmetry_Int_Tables_number 65
_symmetry_space_group_name_Hall '-C 2 2'
_cell_length_a 9.728
_cell_length_b 9.737
_cell_length_c 4.435
_cell_angle_alpha 90.00
_cell_angle_beta 90.00
_cell_angle_gamma 90.00
loop_
_atom_site_label
_atom_site_fract_x
_atom_site_fract_y
_atom_site_fract_z
_atom_site_occupancy
Th1 0.000 0.000 0.000 1
Cd1 0.000 0.500 0.000 1
In1 0.000 0.261 0.500 1
In2 0.238 0.500 0.500 1
In3 0.250 0.250 0.000 1
# **Formation energy from the elements**: -0.10 eV/atom
# **DFT total energy**: -51.132 eV for the cell shown
# **DOS at the Fermi energy**: 0.455 states/eV per atom


# PBE Ho5ZnSb4, optimized geometry
data_Ho5ZnSb4
_chemical_formula_sum 'Ho10 Zn2 Sb8'
_symmetry_space_group_name_H-M 'I 4'
_symmetry_Int_Tables_number 79
_cell_length_a 9.694
_cell_length_b 9.694
_cell_length_c 6.121
_cell_angle_alpha 90.00
_cell_angle_beta 90.00
_cell_angle_gamma 90.00
loop_
_symmetry_equiv_pos_as_xyz
'x,y,z'
'-y,x,z'
'-x,-y,z'
'y,-x,z'
'x+1/2,y+1/2,z+1/2'
'-y+1/2,x+1/2,z+1/2'
'-x+1/2,-y+1/2,z+1/2'
'y+1/2,-x+1/2,z+1/2'
loop_
_atom_site_label
_atom_site_fract_x
_atom_site_fract_y
_atom_site_fract_z
_atom_site_occupancy
Ho1 0.000 0.000 0.000 1
Ho2 0.104 0.697 0.499 1
Zn1 0.000 0.000 0.500 1
Sb1 0.099 0.700 0.999 1
# **DFT total energy**: -98.239 eV for the cell shown
# **DOS at the Fermi energy**: 0.733 states/eV per atom
# **Formation energy from raw total energies**: -0.8467 eV/atom


# PBE TmMg3Ag3, optimized geometry
data_TmMg3Ag3
_chemical_formula_sum 'Tm2 Mg6 Ag6'
_symmetry_space_group_name_H-M 'P m -3 n'
_symmetry_Int_Tables_number 223
_symmetry_space_group_name_Hall '-P 4n 2 3'
_cell_length_a 7.226
_cell_length_b 7.226
_cell_length_c 7.226
_cell_angle_alpha 90.00
_cell_angle_beta 90.00
_cell_angle_gamma 90.00
loop_
_atom_site_label
_atom_site_fract_x
_atom_site_fract_y
_atom_site_fract_z
_atom_site_occupancy
Tm1 0.000 0.000 0.000 1
Mg1 0.000 0.250 0.500 1
Ag1 0.000 0.500 0.250 1
# **Formation energy from the elements**: 0.39 eV/atom
# **DFT total energy**: -30.197 eV for the cell shown
# **DOS at the Fermi energy**: 0.757 states/eV per atom


# PBE SrCo2Ir2, optimized geometry
data_SrCo2Ir2
_chemical_formula_sum 'Sr2 Co4 Ir4'
_symmetry_space_group_name_H-M 'P 4/m b m'
_symmetry_Int_Tables_number 127
_symmetry_space_group_name_Hall '-P 4 2ab'
_cell_length_a 7.627
_cell_length_b 7.627
_cell_length_c 2.722
_cell_angle_alpha 90.00
_cell_angle_beta 90.00
_cell_angle_gamma 90.00
loop_
_atom_site_label
_atom_site_fract_x
_atom_site_fract_y
_atom_site_fract_z
_atom_site_occupancy
Sr1 0.000 0.000 0.000 1
Co1 0.118 0.382 0.000 1
Ir1 0.171 0.671 0.500 1
# **Formation energy from the elements**: 0.19 eV/atom
# **Excess energy over the best structure of this formula in the dataset**: 102 meV/atom
# **DFT total energy**: -65.333 eV for the cell shown
# **DOS at the Fermi energy**: 1.302 states/eV per atom


# PBE RbP2PdPt4, optimized geometry
data_RbP2PdPt4
_chemical_formula_sum 'Rb1 P2 Pd1 Pt4'
_symmetry_space_group_name_H-M 'P 4/m m m'
_symmetry_Int_Tables_number 123
_symmetry_space_group_name_Hall '-P 4 2'
_cell_length_a 4.043
_cell_length_b 4.043
_cell_length_c 10.272
_cell_angle_alpha 90.00
_cell_angle_beta 90.00
_cell_angle_gamma 90.00
loop_
_atom_site_label
_atom_site_fract_x
_atom_site_fract_y
_atom_site_fract_z
_atom_site_occupancy
Rb1 0.000 0.000 0.000 1
P1 0.500 0.500 0.210 1
Pd1 0.000 0.000 0.500 1
Pt1 0.000 0.500 0.320 1
# **Formation energy from the elements**: -0.37 eV/atom
# **DFT total energy**: -44.097 eV for the cell shown
# **DOS at the Fermi energy**: 0.353 states/eV per atom


Q: What is the DFT total energy in the sixth record?
A: -30.197 eV for the cell shown


Q: Which value of DOS at the Fermi energy does entry 2 give?
A: 0.837 states/eV per atom


Q: Among the records above, which one has the highest DOS at the Fermi energy?
A: SrCo2Ir2